Pm5Er5Tm2 | PBE | optimized geometry

Cell and atoms, written as POSCAR:
```
Pm5Er5Tm2
1.0
4.9163 0.0000 1.0506
2.1728 7.4271 1.8607
0.2878 0.6355 10.6822
Er Pm Tm
5 5 2
direct
0.1677 0.1658 0.4988
0.0000 0.0000 0.0000
0.7485 0.2505 0.2524
0.2515 0.7495 0.7476
0.8323 0.8342 0.5012
0.6657 0.6680 0.0006
0.5000 0.5000 0.5000
0.5838 0.0832 0.7493
0.3343 0.3320 0.9994
0.4162 0.9168 0.2507
0.0835 0.5819 0.2511
0.9165 0.4181 0.7489
```

Summary:
crystal system: monoclinic



Pm4Er10Tm | PBE | optimized geometry

Cell and atoms, written as POSCAR:
```
Pm4Er10Tm
1.0
7.1869 0.0000 3.2452
3.5935 7.9174 1.6226
0.3352 0.0000 8.8385
Er Tm Pm
10 1 4
direct
0.9150 0.7919 0.7916
0.2500 0.5000 0.5000
0.7500 0.5000 0.5000
0.5015 0.7919 0.7916
0.2931 0.2084 0.7919
0.0850 0.2081 0.2084
0.4985 0.2081 0.2084
0.7069 0.7916 0.2081
0.2934 0.7916 0.2081
0.7066 0.2084 0.7919
0.0000 0.0000 0.0000
0.7719 0.9998 0.4564
0.7717 0.4564 0.0002
0.2281 0.0002 0.5436
0.2283 0.5436 0.9998
```

Summary:
crystal system: tetragonal



PmErTm4 | PBE | optimized geometry

Cell and atoms, written as POSCAR:
```
PmErTm4
1.0
-0.0120 3.4269 0.2834
-3.8394 -3.7424 3.7387
6.9572 -0.5207 6.6217
Tm Pm Er
4 1 1
direct
0.4972 0.0013 0.8374
0.4973 0.0013 0.1663
0.9973 0.5013 0.6716
0.9972 0.5013 0.3321
0.9973 0.0013 0.5019
0.4973 0.5013 0.0019
```

Summary:
crystal system: monoclinic



Pm3Er5Tm2 | PBE | optimized geometry

Cell and atoms, written as POSCAR:
```
Pm3Er5Tm2
1.0
8.8686 -1.6106 -2.6353
-2.8421 8.4678 -2.7872
-0.4252 -0.3189 9.5200
Tm Er Pm
4 10 6
direct
0.2685 0.7203 0.7325
0.9640 0.0122 0.7325
0.7315 0.2797 0.2675
0.0360 0.9878 0.2675
0.9700 0.7200 0.4400
0.6506 0.8814 0.2791
0.0300 0.2800 0.5600
0.8715 0.6023 0.7209
0.2281 0.4781 0.9562
0.5276 0.7776 0.5552
0.4724 0.2224 0.4448
0.1285 0.3977 0.2791
0.3494 0.1186 0.7209
0.7719 0.5219 0.0438
0.7348 0.9848 0.9696
0.4800 0.5244 0.7474
0.2326 0.7770 0.2526
0.2652 0.0152 0.0304
0.5200 0.4756 0.2526
0.7674 0.2230 0.7474
```

Summary:
crystal system: monoclinic



Pm8Er4Tm3 | PBE | optimized geometry

Cell and atoms, written as POSCAR:
```
Pm8Er4Tm3
1.0
6.8371 0.0082 0.0117
-3.1415 8.4121 1.4840
-3.1415 -1.5285 8.4041
Tm Er Pm
3 4 8
direct
0.5000 0.5000 0.0000
0.5000 0.0000 0.5000
0.5000 0.5000 0.5000
0.0000 0.0000 0.5000
0.5000 0.0000 0.0000
0.0000 0.5000 0.0000
0.0000 0.0000 0.0000
0.5000 0.2466 0.7534
0.8274 0.2972 0.2972
0.0000 0.2951 0.7049
0.5000 0.7534 0.2466
0.7090 0.7566 0.7566
0.1726 0.7028 0.7028
0.0000 0.7049 0.2951
0.2910 0.2434 0.2434
```

Summary:
crystal system: monoclinic



Pm5Er6Tm | PBE | optimized geometry

Cell and atoms, written as POSCAR:
```
Pm5Er6Tm
1.0
4.8465 0.0238 -1.4162
-1.3832 8.8103 -4.5858
0.1194 -0.7976 9.3964
Er Pm Tm
6 5 1
direct
0.1662 0.4153 0.3324
0.8338 0.0829 0.6676
0.5000 0.7515 0.0000
0.1662 0.9171 0.3324
0.5000 0.2485 0.0000
0.8338 0.5847 0.6676
0.0000 0.5000 0.0000
0.6653 0.1653 0.3305
0.3333 0.3333 0.6666
0.3347 0.8347 0.6695
0.6667 0.6667 0.3334
0.0000 0.0000 0.0000
```

Summary:
crystal system: orthorhombic



Pm5Er12Tm | PBE | optimized geometry

Cell and atoms, written as POSCAR:
```
Pm5Er12Tm
1.0
-10.9924 -3.0574 -2.5305
-3.6948 -9.6428 0.7132
-1.5148 0.9792 5.3951
Pm Er Tm
5 12 1
direct
0.1369 0.7262 0.5000
0.6400 0.7199 0.0000
0.3600 0.2801 0.0000
0.5000 0.0000 0.5000
0.8631 0.2738 0.5000
0.0218 0.6445 0.0002
0.1666 0.3582 0.4998
0.1978 0.0000 0.5016
0.8334 0.6418 0.5002
0.3337 0.6445 0.9998
0.2995 0.0000 0.0016
0.4753 0.3582 0.5002
0.8022 0.0000 0.4984
0.9783 0.3555 0.9998
0.5247 0.6418 0.4998
0.6663 0.3555 0.0002
0.7005 0.0000 0.9984
0.0000 0.0000 0.0000
```

Summary:
crystal system: monoclinic



Pm12ErTm6 | PBE | optimized geometry

Cell and atoms, written as POSCAR:
```
Pm12ErTm6
1.0
-7.3413 -3.7649 4.6934
-1.8636 0.5886 -9.2886
7.9263 -4.9859 1.5529
Tm Pm Er
6 12 1
direct
0.7862 0.6829 0.5282
0.6829 0.5282 0.7862
0.5282 0.7862 0.6829
0.2138 0.3171 0.4718
0.4718 0.2138 0.3171
0.3171 0.4718 0.2138
0.4200 0.6288 0.9438
0.6288 0.9438 0.4200
0.8428 0.2627 0.8957
0.1043 0.1572 0.7373
0.7373 0.1043 0.1572
0.1572 0.7373 0.1043
0.2627 0.8957 0.8428
0.5800 0.3712 0.0562
0.8957 0.8428 0.2627
0.0562 0.5800 0.3712
0.9438 0.4200 0.6288
0.3712 0.0562 0.5800
0.0000 0.0000 0.0000
```

Summary:
crystal system: trigonal



Calculated calculated formation energy (eV per atom), listed in the same order as above: 0.020, 0.273, 0.072, 0.197, 0.350, 0.020, 0.092, 0.018
Calculated VASP energy (eV per atom), listed in the same order as above: -4.61, -4.33, -4.46, -4.40, -4.29, -4.61, -4.52, -4.63
Calculated magnetic moment (μB/cell), listed in the same order as above: 0.00, 0.00, 0.00, 0.00, 0.00, 0.00, 0.00, 0.00